(1)
Below is a crystal of Ta2Tc2H relaxed with PBEsol, with properties calculated at the SCAN level.

Summary:
The value obtained for the total magnetization is 0.00 μB/cell. Its crystal system is tetragonal.

Cell lengths 3.372, 3.372, 13.966 Å; angles 90.00, 90.00, 90.00 degrees
Space group I4/mmm (No. 139)
One atom of each set of equivalent atoms:
1 Ta 0.000 0.000 0.094 (multiplicity 4)
2 Tc 0.000 0.500 0.250 (multiplicity 4)
3 H 0.000 0.000 0.500 (multiplicity 2)

=====

(2)
Below is a crystal of Ta2TcH2 relaxed with PBEsol, with properties calculated at the SCAN level.

Summary:
The value obtained for the total magnetization is 0.00 μB/cell. Its crystal system is tetragonal.

Cell lengths 3.067, 3.067, 11.671 Å; angles 90.00, 90.00, 90.00 degrees
Space group I4/mmm (No. 139)
One atom of each set of equivalent atoms:
1 Ta 0.000 0.000 0.139 (multiplicity 4)
2 Tc 0.000 0.000 0.500 (multiplicity 2)
3 H 0.000 0.500 0.250 (multiplicity 4)

=====

Number 1: total DFT energy (no corrections) -40.375 eV/atom, density of states at the Fermi level 10.856 states/eV per cell. Number 2: total DFT energy (no corrections) -35.283 eV/atom, density of states at the Fermi level 3.840 states/eV per cell.